[1]
## SmNb2N4 (PBE-GGA)

Data for a relaxed SmNb2N4 crystal.

```
14
Lattice="1.8328 4.9113 -1.2442 -4.2027 -2.8786 1.7547 3.2269 1.2897 9.8447" Properties=species:S:1:pos:R:3 pbc="T T T"
Sm 1.9331 2.8843 7.2920
Nb 2.8793 4.6339 4.7181
Nb -3.2082 -1.7855 2.0188
N 3.8726 5.3876 6.3283
Nb -2.0222 -1.3115 5.6370
N -1.1849 1.0163 0.2553
N 1.6803 3.5986 3.2743
Sm -1.0760 0.4382 3.0631
Nb 4.0653 5.1079 8.3363
N 0.0679 0.0800 9.7995
N 0.7892 3.2424 0.5557
N -0.8232 -0.2762 7.0809
N -3.0155 -2.0651 4.0268
N 0.4285 1.6612 5.1776
```

Computed properties:
**Final energy**: -9.436 eV/atom

[2]
## CdPd2W (PBE-GGA)

Data for a relaxed CdPd2W crystal.

```
4
Lattice="3.8520 -2.0886 1.1231 -0.0678 -4.3416 1.2676 1.7259 -3.1770 -2.7183" Properties=species:S:1:pos:R:3 pbc="T T T"
W 0.0000 0.0000 0.0000
Pd 2.7550 -4.8036 -0.1638
Cd 4.1325 -7.2054 -0.2457
Pd 1.3775 -2.4018 -0.0819
```

Computed properties:
**Energy of formation**: 1.38 eV per formula unit

[3]
## YMgFeAs (PBE-GGA)

Data for a relaxed YMgFeAs crystal.

```
4
Lattice="0.7568 2.7512 3.6583 -3.5715 1.4967 2.5552 -0.6223 -1.6322 4.2981" Properties=species:S:1:pos:R:3 pbc="T T T"
As -0.8592 0.6539 2.6279
Y 0.0000 0.0000 0.0000
Fe -1.7185 1.3078 5.2558
Mg -2.5777 1.9618 7.8837
```

Computed properties:
**Energy above the most stable polymorph in this dataset**: 151 meV per atom

[4]
## GdGaH (PBE-GGA)

Data for a relaxed GdGaH crystal.

```
6
Lattice="2.0280 -5.8217 0.0000 2.0280 5.8217 0.0000 0.0000 0.0000 4.1078" Properties=species:S:1:pos:R:3 pbc="T T T"
Ga 2.0280 0.6974 1.0270
H 2.0280 2.9435 3.0809
Ga 2.0280 -0.6974 3.0809
Gd 2.0280 4.0057 1.0270
H 2.0280 -2.9435 1.0270
Gd 2.0280 -4.0057 3.0809
```

Computed properties:
**Final energy**: -4.343 eV/atom

[5]
## Hf2Mg (PBE-GGA)

Data for a relaxed Hf2Mg crystal.

```
3
Lattice="0.0000 3.3195 3.3195 3.3195 0.0000 3.3195 3.3195 3.3195 0.0000" Properties=species:S:1:pos:R:3 pbc="T T T"
Hf 1.6597 1.6597 1.6597
Mg 0.0000 0.0000 0.0000
Hf 4.9792 4.9792 4.9792
```

Computed properties:
**Final energy**: -6.282 eV/atom

[6]
## K2LiAuF6 (PBE-GGA)

Data for a relaxed K2LiAuF6 crystal.

```
10
Lattice="0.6265 -5.5424 1.3116 4.2985 1.3338 3.5461 -5.1058 2.5262 0.6166" Properties=species:S:1:pos:R:3 pbc="T T T"
Li 0.0000 0.0000 0.0000
K 0.8276 0.8779 3.2958
F 1.1792 -1.0077 1.1631
F 1.0849 -1.8844 4.0161
Au 2.4625 -2.1043 2.4288
F 3.4194 -0.3124 3.0111
F -1.2657 0.2020 1.4582
F 1.5056 -3.8961 1.8466
F 3.7458 -3.2009 3.6946
K -1.0084 -2.5602 2.1785
```

Computed properties:
**Energy above the most stable polymorph in this dataset**: 58 meV per atom

[7]
## SmErGa (PBE-GGA)

Data for a relaxed SmErGa crystal.

```
3
Lattice="0.0000 3.5209 3.5209 3.5209 0.0000 3.5209 3.5209 3.5209 0.0000" Properties=species:S:1:pos:R:3 pbc="T T T"
Sm 5.2813 5.2813 5.2813
Ga 0.0000 0.0000 0.0000
Er 1.7604 1.7604 1.7604
```

Computed properties:
**Energy above the most stable polymorph in this dataset**: 0 meV per atom

[8]
## CsTbHgS3 (PBE-GGA)

Data for a relaxed CsTbHgS3 crystal.

```
12
Lattice="8.9469 -2.0757 0.0000 8.9469 2.0757 0.0000 -1.7845 0.0000 9.0722" Properties=species:S:1:pos:R:3 pbc="T T T"
Hg 8.8005 0.0000 2.0572
S 0.0000 0.0000 0.0000
S 4.7439 0.0000 6.7294
Cs 14.4190 0.0000 3.9640
S 11.3655 0.0000 2.3428
S 10.5493 0.0000 7.9115
Hg 7.3089 0.0000 7.0150
S 8.0547 0.0000 4.5361
Tb 2.8650 0.0000 0.5784
Tb 13.2443 0.0000 8.4939
Cs 1.6904 0.0000 5.1082
S 5.5601 0.0000 1.1607
```

Computed properties:
**Final energy**: -4.191 eV/atom

| no. | calculated density (Mg/m³) |
| --- | --- |
| 1 | 7.7 |
| 2 | 12.9 |
| 3 | 5.7 |
| 4 | 7.8 |
| 5 | 8.7 |
| 6 | 4.9 |
| 7 | 7.4 |
| 8 | 5.8 |